Record 1
DFT (GGA-PBE) results for Na2TlHg6 after structural relaxation.

a = 6.203 Å, b = 6.216 Å, c = 6.216 Å
α = 94.32°, β = 94.21°, γ = 94.21°
Sites, in units of the cell vectors:
Na: 0.671 0.671 0.671
Na: 0.329 0.329 0.329
Tl: 0.000 0.000 0.000
Hg: 0.169 0.500 0.831
Hg: 0.831 0.169 0.500
Hg: 0.831 0.500 0.169
Hg: 0.500 0.169 0.831
Hg: 0.169 0.831 0.500
Hg: 0.500 0.831 0.169

Calculated values
The formation energy is -15.0 kJ per mole of atoms. The crystal system is monoclinic. As for the space group: C2/m (12). Its density of states at the Fermi level is 3.160 states/eV per cell.


Record 2
DFT (GGA-PBE) results for PuHfTc2 after structural relaxation.

a = 3.299 Å, b = 3.299 Å, c = 6.641 Å
α = 90.00°, β = 90.00°, γ = 90.00°
Site moments in Bohr magnetons follow the coordinates.
Sites, in units of the cell vectors:
Hf: 0.500 0.500 0.000  0.10
Tc: 0.000 0.000 0.750  -0.47
Tc: 0.000 0.000 0.250  -0.47
Pu: 0.500 0.500 0.500  4.49

Calculated values
The formation energy is -19.4 kJ per mole of atoms. The crystal system is tetragonal. As for the space group: P4/mmm (123). Its density of states at the Fermi level is 5.532 states/eV per cell.


Record 3
DFT (GGA-PBE) results for AlInPb2 after structural relaxation.

a = 10.324 Å, b = 10.324 Å, c = 10.324 Å
α = 19.85°, β = 19.85°, γ = 19.85°
Sites, in units of the cell vectors:
Pb: 0.004 0.004 0.004
Pb: 0.237 0.237 0.237
Al: 0.498 0.498 0.498
In: 0.761 0.761 0.761

Calculated values
The formation energy is 14.9 kJ per mole of atoms. The crystal system is trigonal. As for the space group: R3m (160). Its density of states at the Fermi level is 1.572 states/eV per cell.